Entry 1:
A relaxed Er6Zn2Cd crystal. Source: the Alexandria database, functional PBE-GGA.

```
Er6Zn2Cd
1.0
4.932 0.000 0.000
0.000 4.932 0.000
-2.466 -2.466 10.683
Zn Er Cd
2 6 1
Cartesian
0.000 0.000 7.092 Zn
2.466 2.466 3.591 Zn
0.000 2.466 1.907 Er
0.000 2.466 8.776 Er
2.466 0.000 1.907 Er
2.466 0.000 5.342 Er
2.466 0.000 8.776 Er
0.000 2.466 5.342 Er
0.000 0.000 0.000 Cd
```

density of states at the Fermi level	10.54	states/eV per cell
ρ	8.0	Mg/m³
ΔH_f (0 K)	0.41	eV per formula unit
energy above the lowest structure with this stoichiometry	0.246	eV per atom
total magnetic moment	0.0	μB per cell
space group	I4/mmm
raw total energy	-3.3813	eV/atom

Entry 2:
A relaxed CaScSi2 crystal. Source: the Alexandria database, functional PBE-GGA.

```
CaScSi2
1.0
8.609 -0.011 -0.007
7.913 3.391 -0.007
7.913 1.619 2.980
Sc Si Ca
1 2 1
Cartesian
18.326 3.749 2.225 Sc
0.132 0.027 0.016 Si
12.085 2.472 1.467 Si
6.109 1.250 0.742 Ca
```

density of states at the Fermi level	1.34	states/eV per cell
ρ	2.7	Mg/m³
energy above the lowest structure with this stoichiometry	0.220	eV per atom
raw formation energy	-0.2313	eV per atom
total magnetic moment	0.0	μB per cell
space group	R-3m
raw total energy	-5.0261	eV/atom

Entry 3:
A relaxed Ho2ZnAg3 crystal. Source: the Alexandria database, functional PBE-GGA.

```
Ho2ZnAg3
1.0
-0.548 -2.518 2.179
4.132 0.840 2.010
-3.565 5.228 5.145
Zn Ho Ag
1 2 3
Cartesian
0.614 0.888 3.794 Zn
-1.783 2.615 2.573 Ho
-1.498 5.646 6.148 Ho
-0.544 2.586 5.465 Ag
-3.261 3.121 5.400 Ag
-0.905 -0.334 2.000 Ag
```

density of states at the Fermi level	3.57	states/eV per cell
ρ	9.3	Mg/m³
ΔH_f (0 K)	-1.74	eV per formula unit
total magnetic moment	0.0	μB per cell
space group	Pmm2
raw total energy	-3.4536	eV/atom

Entry 4:
A relaxed CsNbCl5 crystal. Source: the Alexandria database, functional PBE-GGA.

```
CsNbCl5
1.0
-3.134 6.412 -3.398
-6.682 3.280 2.661
2.382 7.942 5.501
Nb Cl Cs
2 10 2
Cartesian
1.191 3.971 2.750 Nb
0.000 0.000 0.000 Nb
-2.540 8.396 -2.020 Cl
-4.442 3.230 1.769 Cl
-4.182 10.436 0.245 Cl
-4.956 12.673 6.351 Cl
-6.147 8.699 3.598 Cl
-3.252 7.198 4.518 Cl
-2.992 14.404 2.994 Cl
-4.894 9.238 6.784 Cl
-2.479 4.961 -1.587 Cl
-1.287 8.935 1.165 Cl
-4.312 6.832 1.006 Cs
-3.122 10.802 3.758 Cs
```

density of states at the Fermi level	3.24	states/eV per cell
ρ	2.7	Mg/m³
raw formation energy	-1.4539	eV per atom
total magnetic moment	2.0	μB per cell
space group	Immm
raw total energy	-4.3334	eV/atom